No. 1
Compound: MnAs3
Source: Alexandria
Functional: GGA-PBEsol
Structure: optimized geometry

Cell: 5.1095 5.1095 5.1095 Å, 90.00 90.00 90.00°
Fractional coordinates of all 8 atoms:
1 Mn 0.0000 0.0000 0.0000
2 Mn 0.5000 0.5000 0.5000
3 As 0.0000 0.2500 0.5000
4 As 0.0000 0.7500 0.5000
5 As 0.2500 0.5000 0.0000
6 As 0.5000 0.0000 0.2500
7 As 0.5000 0.0000 0.7500
8 As 0.7500 0.5000 0.0000

Calculated values
Calculated formation energy ... 0.367 eV per atom
Fermi-level density of states ... 5.66 states/eV per cell
E ... -5.903 eV/atom



No. 2
Compound: MnAs2
Source: Alexandria
Functional: GGA-PBEsol
Structure: optimized geometry

Cell: 4.3701 4.3701 2.8414 Å, 90.00 90.00 120.00°
Fractional coordinates of all 3 atoms:
1 Mn 0.0000 0.0000 0.0000
2 As 0.3333 0.6667 0.1932
3 As 0.6667 0.3333 0.8068

Calculated values
Calculated formation energy ... 0.270 eV per atom
Fermi-level density of states ... 1.57 states/eV per cell
E ... -6.388 eV/atom